No. 1
This record from OQMD describes a geometry-optimized Er3Tm2Lu2Ni2Te2 structure. The functional is PBE.

abc: 9.197 9.197 9.197
angles: 156.07 67.19 118.27
Positions (direct):
Er 0.000 0.000 0.000
Er 0.309 0.624 0.685
Er 0.938 0.624 0.315
Tm 0.284 0.418 0.865
Tm 0.553 0.418 0.135
Lu 0.625 0.272 0.353
Lu 0.918 0.272 0.647
Ni 0.167 0.931 0.236
Ni 0.695 0.931 0.764
Te 0.267 0.767 0.500
Te 0.662 0.662 0.000

Computed properties:
- space group = Imm2 (44)
- relative energy among the computed polymorphs (meV per atom) = 11
- crystal system = orthorhombic
- theoretical density (g cm⁻³) = 9.41

No. 2
This record from OQMD describes a geometry-optimized Er3Tm2Lu2Ni2Te2 structure. The functional is PBE.

abc: 9.218 9.218 9.218
angles: 156.15 67.21 118.21
Positions (direct):
Er 0.000 0.000 0.000
Er 0.447 0.581 0.866
Er 0.715 0.581 0.134
Tm 0.062 0.377 0.685
Tm 0.691 0.377 0.315
Lu 0.081 0.727 0.353
Lu 0.374 0.727 0.647
Ni 0.305 0.070 0.235
Ni 0.835 0.070 0.765
Te 0.337 0.337 0.000
Te 0.734 0.234 0.500

Computed properties:
- space group = Imm2 (44)
- relative energy among the computed polymorphs (meV per atom) = 7
- crystal system = orthorhombic
- theoretical density (g cm⁻³) = 9.37

No. 3
This record from OQMD describes a geometry-optimized Er2Tm4LuNi2Te2 structure. The functional is PBE.

abc: 9.212 9.212 9.212
angles: 156.13 67.21 118.22
Positions (direct):
Er 0.185 0.000 0.185
Er 0.815 0.000 0.815
Tm 0.206 0.352 0.854
Tm 0.498 0.352 0.146
Tm 0.571 0.205 0.366
Tm 0.840 0.205 0.634
Lu 0.124 0.624 0.500
Ni 0.429 0.693 0.736
Ni 0.956 0.693 0.264
Te 0.462 0.962 0.500
Te 0.857 0.857 0.000

Computed properties:
- space group = Imm2 (44)
- relative energy among the computed polymorphs (meV per atom) = 4
- crystal system = orthorhombic
- theoretical density (g cm⁻³) = 9.35

No. 4
This record from OQMD describes a geometry-optimized Er2Tm4LuNi2Te2 structure. The functional is PBE.

abc: 9.231 9.231 9.231
angles: 156.12 67.20 118.24
Positions (direct):
Er 0.146 0.000 0.146
Er 0.854 0.000 0.854
Tm 0.219 0.853 0.365
Tm 0.463 0.648 0.815
Tm 0.488 0.853 0.635
Tm 0.833 0.648 0.185
Lu 0.772 0.272 0.500
Ni 0.077 0.340 0.736
Ni 0.604 0.340 0.264
Te 0.110 0.610 0.500
Te 0.505 0.505 0.000

Computed properties:
- space group = Imm2 (44)
- relative energy among the computed polymorphs (meV per atom) = 0
- crystal system = orthorhombic
- theoretical density (g cm⁻³) = 9.30

No. 5
This record from OQMD describes a geometry-optimized Er3Tm2Lu2Ni2Te2 structure. The functional is PBE.

abc: 9.230 9.230 9.230
angles: 156.08 67.16 118.29
Positions (direct):
Er 0.000 0.000 0.000
Er 0.083 0.729 0.354
Er 0.376 0.729 0.646
Tm 0.061 0.376 0.685
Tm 0.691 0.376 0.315
Lu 0.447 0.582 0.865
Lu 0.717 0.582 0.135
Ni 0.305 0.069 0.237
Ni 0.832 0.069 0.763
Te 0.339 0.339 0.000
Te 0.733 0.233 0.500

Computed properties:
- space group = Imm2 (44)
- relative energy among the computed polymorphs (meV per atom) = 5
- crystal system = orthorhombic
- theoretical density (g cm⁻³) = 9.32

No. 6
This record from OQMD describes a geometry-optimized Er3Tm2Lu2Ni2Te2 structure. The functional is PBE.

abc: 9.229 9.229 9.229
angles: 156.08 67.18 118.28
Positions (direct):
Er 0.000 0.000 0.000
Er 0.309 0.624 0.685
Er 0.939 0.624 0.315
Tm 0.625 0.271 0.354
Tm 0.918 0.271 0.646
Lu 0.284 0.418 0.865
Lu 0.553 0.418 0.135
Ni 0.168 0.931 0.237
Ni 0.695 0.931 0.763
Te 0.268 0.768 0.500
Te 0.661 0.661 0.000

Computed properties:
- space group = Imm2 (44)
- relative energy among the computed polymorphs (meV per atom) = 9
- crystal system = orthorhombic
- theoretical density (g cm⁻³) = 9.32

No. 7
This record from OQMD describes a geometry-optimized Er3Tm2Lu2Ni2Te2 structure. The functional is PBE.

abc: 9.248 9.248 9.248
angles: 156.08 67.11 118.34
Positions (direct):
Er 0.000 0.000 0.000
Er 0.447 0.582 0.865
Er 0.716 0.582 0.135
Tm 0.082 0.729 0.353
Tm 0.375 0.729 0.647
Lu 0.062 0.376 0.685
Lu 0.691 0.376 0.315
Ni 0.305 0.069 0.236
Ni 0.833 0.069 0.764
Te 0.338 0.338 0.000
Te 0.733 0.233 0.500

Computed properties:
- space group = Imm2 (44)
- relative energy among the computed polymorphs (meV per atom) = 0
- crystal system = orthorhombic
- theoretical density (g cm⁻³) = 9.27

No. 8
This record from OQMD describes a geometry-optimized Er3Tm2Lu2Ni2Te2 structure. The functional is PBE.

abc: 9.192 9.192 9.192
angles: 156.05 67.19 118.28
Positions (direct):
Er 0.000 0.000 0.000
Er 0.082 0.729 0.353
Er 0.375 0.729 0.647
Tm 0.447 0.582 0.865
Tm 0.717 0.582 0.135
Lu 0.062 0.376 0.685
Lu 0.691 0.376 0.315
Ni 0.305 0.069 0.236
Ni 0.832 0.069 0.764
Te 0.339 0.339 0.000
Te 0.733 0.233 0.500

Computed properties:
- space group = Imm2 (44)
- relative energy among the computed polymorphs (meV per atom) = 0
- crystal system = orthorhombic
- theoretical density (g cm⁻³) = 9.42

No. 9
This record from OQMD describes a geometry-optimized Er2Tm4LuNi2Te2 structure. The functional is PBE.

abc: 9.237 9.237 9.237
angles: 156.23 67.32 118.07
Positions (direct):
Er 0.134 0.000 0.134
Er 0.866 0.000 0.866
Tm 0.112 0.796 0.315
Tm 0.481 0.796 0.685
Tm 0.500 0.146 0.354
Tm 0.792 0.146 0.646
Lu 0.419 0.419 0.000
Ni 0.253 0.489 0.764
Ni 0.725 0.489 0.236
Te 0.154 0.654 0.500
Te 0.756 0.756 0.000

Computed properties:
- space group = Imm2 (44)
- relative energy among the computed polymorphs (meV per atom) = 1
- crystal system = orthorhombic
- theoretical density (g cm⁻³) = 9.30

No. 10
This record from OQMD describes a geometry-optimized Y2ErTm2Lu2Ni2Te2 structure. The functional is PBE.

abc: 9.266 9.266 9.266
angles: 156.12 66.83 118.63
Positions (direct):
Y 0.147 0.000 0.147
Y 0.853 0.000 0.853
Er 0.233 0.733 0.500
Tm 0.515 0.149 0.366
Tm 0.783 0.149 0.634
Lu 0.169 0.353 0.816
Lu 0.538 0.353 0.184
Ni 0.405 0.666 0.739
Ni 0.926 0.666 0.261
Te 0.498 0.498 0.000
Te 0.893 0.393 0.500

Computed properties:
- space group = Imm2 (44)
- relative energy among the computed polymorphs (meV per atom) = 0
- crystal system = orthorhombic
- theoretical density (g cm⁻³) = 8.32

No. 11
This record from OQMD describes a geometry-optimized YEr2Tm2Lu2Ni2Te2 structure. The functional is PBE.

abc: 9.228 9.228 9.228
angles: 156.09 67.00 118.46
Positions (direct):
Y 0.000 0.000 0.000
Er 0.284 0.418 0.866
Er 0.551 0.418 0.134
Tm 0.621 0.270 0.352
Tm 0.918 0.270 0.648
Lu 0.307 0.621 0.686
Lu 0.936 0.621 0.314
Ni 0.167 0.929 0.237
Ni 0.692 0.929 0.763
Te 0.265 0.765 0.500
Te 0.664 0.664 0.000

Computed properties:
- space group = Imm2 (44)
- relative energy among the computed polymorphs (meV per atom) = 1
- crystal system = orthorhombic
- theoretical density (g cm⁻³) = 8.87

No. 12
This record from OQMD describes a geometry-optimized Y2Er2TmLu2Ni2Te2 structure. The functional is PBE.

abc: 9.275 9.275 9.275
angles: 156.26 67.14 118.23
Positions (direct):
Y 0.185 0.000 0.185
Y 0.815 0.000 0.815
Er 0.165 0.798 0.368
Er 0.430 0.798 0.632
Tm 0.877 0.377 0.500
Lu 0.503 0.650 0.853
Lu 0.796 0.650 0.147
Ni 0.041 0.304 0.738
Ni 0.566 0.304 0.262
Te 0.144 0.144 0.000
Te 0.543 0.043 0.500

Computed properties:
- space group = Imm2 (44)
- relative energy among the computed polymorphs (meV per atom) = 21
- crystal system = orthorhombic
- theoretical density (g cm⁻³) = 8.30

No. 13
This record from OQMD describes a geometry-optimized Y2Er2TmLu2Ni2Te2 structure. The functional is PBE.

abc: 9.266 9.266 9.266
angles: 156.21 67.11 118.29
Positions (direct):
Y 0.184 0.000 0.184
Y 0.816 0.000 0.816
Er 0.502 0.649 0.853
Er 0.795 0.649 0.147
Tm 0.878 0.378 0.500
Lu 0.164 0.797 0.367
Lu 0.430 0.797 0.633
Ni 0.045 0.305 0.739
Ni 0.566 0.305 0.261
Te 0.145 0.145 0.000
Te 0.541 0.041 0.500

Computed properties:
- space group = Imm2 (44)
- relative energy among the computed polymorphs (meV per atom) = 19
- crystal system = orthorhombic
- theoretical density (g cm⁻³) = 8.32

No. 14
This record from OQMD describes a geometry-optimized Y2Er2Tm2LuNi2Te2 structure. The functional is PBE.

abc: 9.308 9.308 9.308
angles: 156.27 67.05 118.32
Positions (direct):
Y 0.184 0.000 0.184
Y 0.816 0.000 0.816
Er 0.166 0.798 0.368
Er 0.430 0.798 0.632
Tm 0.503 0.649 0.854
Tm 0.795 0.649 0.146
Lu 0.879 0.379 0.500
Ni 0.045 0.306 0.738
Ni 0.568 0.306 0.262
Te 0.144 0.144 0.000
Te 0.544 0.044 0.500

Computed properties:
- space group = Imm2 (44)
- relative energy among the computed polymorphs (meV per atom) = 14
- crystal system = orthorhombic
- theoretical density (g cm⁻³) = 8.19

No. 15
This record from OQMD describes a geometry-optimized Y2Er2TmLu2Ni2Te2 structure. The functional is PBE.

abc: 9.271 9.271 9.271
angles: 156.12 67.04 118.41
Positions (direct):
Y 0.147 0.000 0.147
Y 0.853 0.000 0.853
Er 0.514 0.148 0.366
Er 0.782 0.148 0.634
Tm 0.232 0.732 0.500
Lu 0.167 0.351 0.815
Lu 0.536 0.351 0.185
Ni 0.402 0.663 0.739
Ni 0.924 0.663 0.261
Te 0.495 0.495 0.000
Te 0.894 0.394 0.500

Computed properties:
- space group = Imm2 (44)
- relative energy among the computed polymorphs (meV per atom) = 0
- crystal system = orthorhombic
- theoretical density (g cm⁻³) = 8.28

No. 16
This record from OQMD describes a geometry-optimized Y2ErTm2Lu2Ni2Te2 structure. The functional is PBE.

abc: 9.256 9.256 9.256
angles: 156.22 67.09 118.31
Positions (direct):
Y 0.185 0.000 0.185
Y 0.815 0.000 0.815
Er 0.878 0.378 0.500
Tm 0.166 0.798 0.368
Tm 0.430 0.798 0.632
Lu 0.502 0.649 0.853
Lu 0.796 0.649 0.147
Ni 0.044 0.306 0.738
Ni 0.567 0.306 0.262
Te 0.145 0.145 0.000
Te 0.543 0.043 0.500

Computed properties:
- space group = Imm2 (44)
- relative energy among the computed polymorphs (meV per atom) = 22
- crystal system = orthorhombic
- theoretical density (g cm⁻³) = 8.36

No. 17
This record from OQMD describes a geometry-optimized Y2ErTm2Lu2Ni2Te2 structure. The functional is PBE.

abc: 9.255 9.255 9.255
angles: 156.19 67.11 118.30
Positions (direct):
Y 0.185 0.000 0.185
Y 0.815 0.000 0.815
Er 0.877 0.377 0.500
Tm 0.501 0.648 0.853
Tm 0.795 0.648 0.147
Lu 0.163 0.796 0.367
Lu 0.430 0.796 0.633
Ni 0.043 0.303 0.740
Ni 0.564 0.303 0.260
Te 0.145 0.145 0.000
Te 0.539 0.039 0.500

Computed properties:
- space group = Imm2 (44)
- relative energy among the computed polymorphs (meV per atom) = 20
- crystal system = orthorhombic
- theoretical density (g cm⁻³) = 8.35

No. 18
This record from OQMD describes a geometry-optimized Y2Er2Tm2LuNi2Te2 structure. The functional is PBE.

abc: 9.272 9.272 9.272
angles: 156.19 67.02 118.39
Positions (direct):
Y 0.146 0.000 0.146
Y 0.854 0.000 0.854
Er 0.166 0.351 0.816
Er 0.535 0.351 0.184
Tm 0.515 0.148 0.367
Tm 0.781 0.148 0.633
Lu 0.231 0.731 0.500
Ni 0.400 0.660 0.740
Ni 0.921 0.660 0.260
Te 0.496 0.496 0.000
Te 0.893 0.393 0.500

Computed properties:
- space group = Imm2 (44)
- relative energy among the computed polymorphs (meV per atom) = 3
- crystal system = orthorhombic
- theoretical density (g cm⁻³) = 8.27

No. 19
This record from OQMD describes a geometry-optimized YEr2Tm2Lu2Ni2Te2 structure. The functional is PBE.

abc: 9.226 9.226 9.226
angles: 156.12 67.00 118.44
Positions (direct):
Y 0.000 0.000 0.000
Er 0.621 0.269 0.352
Er 0.917 0.269 0.648
Tm 0.284 0.417 0.867
Tm 0.550 0.417 0.133
Lu 0.305 0.620 0.685
Lu 0.935 0.620 0.315
Ni 0.167 0.929 0.238
Ni 0.690 0.929 0.762
Te 0.265 0.765 0.500
Te 0.663 0.663 0.000

Computed properties:
- space group = Imm2 (44)
- relative energy among the computed polymorphs (meV per atom) = 0
- crystal system = orthorhombic
- theoretical density (g cm⁻³) = 8.89

No. 20
This record from OQMD describes a geometry-optimized YEr2Tm2Lu2Ni2Te2 structure. The functional is PBE.

abc: 9.228 9.228 9.228
angles: 156.13 66.99 118.46
Positions (direct):
Y 0.000 0.000 0.000
Er 0.621 0.269 0.352
Er 0.916 0.269 0.648
Tm 0.306 0.621 0.685
Tm 0.935 0.621 0.315
Lu 0.284 0.417 0.867
Lu 0.551 0.417 0.133
Ni 0.167 0.928 0.239
Ni 0.689 0.928 0.761
Te 0.266 0.766 0.500
Te 0.662 0.662 0.000

Computed properties:
- space group = Imm2 (44)
- relative energy among the computed polymorphs (meV per atom) = 5
- crystal system = orthorhombic
- theoretical density (g cm⁻³) = 8.88

No. 21
This record from OQMD describes a geometry-optimized YEr2Tm2Lu2Ni2Te2 structure. The functional is PBE.

abc: 9.258 9.258 9.258
angles: 156.17 67.00 118.42
Positions (direct):
Y 0.000 0.000 0.000
Er 0.307 0.621 0.686
Er 0.936 0.621 0.314
Tm 0.286 0.419 0.867
Tm 0.552 0.419 0.133
Lu 0.623 0.270 0.352
Lu 0.918 0.270 0.648
Ni 0.166 0.928 0.238
Ni 0.690 0.928 0.762
Te 0.266 0.766 0.500
Te 0.664 0.664 0.000

Computed properties:
- space group = Imm2 (44)
- relative energy among the computed polymorphs (meV per atom) = 10
- crystal system = orthorhombic
- theoretical density (g cm⁻³) = 8.81